Computed, not measured: an optimized crystal structure of TbNiSb2 at the PBE level of DFT.

Computed properties:
E = -18.8 eV for the cell shown
Formation energy (no corrections) = -0.042 eV per atom

Cell and atoms, written as POSCAR:
```
TbNiSb2
1.0
3.511 0.000 0.000
1.756 3.041 0.000
1.756 1.014 9.493
Sb Tb Ni
2 1 1
Cartesian
1.756 1.014 6.381
5.267 3.041 3.113
0.000 0.000 0.000
3.511 2.027 4.747
```